1.
ZrPb3F | PBE | optimized geometry

```
5
Lattice="5.681 0.000 0.000 0.000 5.681 0.000 0.000 0.000 5.681" Properties=species:S:1:pos:R:3 pbc="T T T"
Pb 0.000 2.840 0.000
Pb 0.000 0.000 2.840
Pb 2.840 0.000 0.000
Zr 0.000 0.000 0.000
F 2.840 2.840 2.840
```

Properties
distance to the lowest polymorph of the same formula: 2.09 eV/f.u.
theoretical density: 6.6 g/cm3
formation energy from raw total energies: 37 kJ/mol of formula units

=====

2.
Sr2HgS | PBE | optimized geometry

```
4
Lattice="-3.317 -0.849 4.319 -5.318 1.418 -0.289 -3.884 -3.904 -0.233" Properties=species:S:1:pos:R:3 pbc="T T T"
Sr -3.130 -0.834 0.949
Sr -9.389 -2.501 2.847
S 0.000 0.000 0.000
Hg -6.260 -1.667 1.898
```

Properties
distance to the lowest polymorph of the same formula: 1.44 eV/f.u.
theoretical density: 5.7 g/cm3
formation energy from raw total energies: -320 kJ/mol of formula units

=====

3.
Li2NiI4 | PBE | optimized geometry

```
7
Lattice="-0.485 1.709 -5.226 -5.499 -0.165 0.457 -3.011 7.521 -0.176" Properties=species:S:1:pos:R:3 pbc="T T T"
I -3.004 5.046 -0.986
I -5.991 4.019 -3.960
I -2.749 -0.082 0.228
I -0.243 0.854 -2.613
Ni 0.000 0.000 0.000
Li -2.997 2.409 -1.849
Li -5.998 6.656 -3.097
```

Properties
theoretical density: 4.5 g/cm3
formation energy from raw total energies: -338 kJ/mol of formula units

=====

4.
K3PuTe3 | PBE | optimized geometry

```
14
Lattice="9.049 0.192 0.013 -3.860 8.187 0.013 -0.723 -1.167 8.685" Properties=species:S:1:pos:R:3 pbc="T T T"
K 2.899 4.680 3.209
K -1.982 6.217 4.355
K 6.449 0.995 4.355
K -0.758 6.266 0.013
K 5.948 2.113 0.013
K 1.568 2.532 5.502
Pu 3.587 5.792 7.510
Pu 0.880 1.421 1.201
Te 4.518 7.295 1.853
Te 5.049 3.570 6.257
Te 0.947 6.110 6.257
Te -0.582 3.642 2.454
Te 3.519 1.102 2.454
Te -0.052 -0.083 6.858
```

Properties
theoretical density: 3.8 g/cm3
formation energy from raw total energies: -642 kJ/mol of formula units

=====

5.
SrCe2Dy | PBE | optimized geometry

```
4
Lattice="-1.010 3.001 1.532 0.566 0.498 3.436 11.271 6.357 -0.979" Properties=species:S:1:pos:R:3 pbc="T T T"
Sr 0.000 0.000 0.000
Ce 8.149 4.938 -0.258
Ce 2.678 4.918 4.248
Dy 5.414 4.928 1.995
```

Properties
theoretical density: 6.4 g/cm3
total energy: -4.214 eV/atom

=====

6.
AcSm6Tm2 | PBE | optimized geometry

```
18
Lattice="5.685 -0.886 0.145 -1.479 10.193 6.327 -2.907 1.886 11.581" Properties=species:S:1:pos:R:3 pbc="T T T"
Ac -1.129 3.742 10.303
Ac 2.427 7.451 7.750
Sm 2.062 5.668 11.091
Sm 1.841 3.695 7.911
Sm -0.763 5.525 6.961
Sm -0.542 7.498 10.142
Sm 2.647 9.357 10.822
Sm 2.207 5.546 4.677
Sm -1.349 1.836 7.231
Sm -0.909 5.647 13.376
Sm -3.201 10.179 16.792
Sm 1.418 0.072 2.064
Sm 4.499 1.014 1.261
Sm -0.120 11.121 15.989
Tm -0.322 9.307 13.066
Tm 4.701 2.826 4.184
Tm 1.620 1.886 4.986
Tm -3.402 8.367 13.869
```

Properties
theoretical density: 8.0 g/cm3
total energy: -4.529 eV/atom

=====

7.
Fe3Re4 | PBE | optimized geometry

```
7
Lattice="-6.403 -6.323 5.513 -4.934 -3.677 8.573 4.026 6.340 -7.413" Properties=species:S:1:pos:R:3 pbc="T T T"
Fe 0.000 0.000 0.000
Fe -3.177 -2.802 3.947
Fe -8.160 -7.198 10.139
Re -1.661 -1.465 2.063
Re -4.854 -4.281 6.031
Re -6.483 -5.719 8.055
Re -9.677 -8.535 12.023
```

Properties
distance to the lowest polymorph of the same formula: 0.51 eV/f.u.
theoretical density: 15.8 g/cm3

=====

8.
YMnBe2 | PBE | optimized geometry

```
4
Lattice="4.459 0.000 0.000 2.229 3.861 0.000 2.229 1.287 3.640" Properties=species:S:1:pos:R:3 pbc="T T T"
Y 2.229 1.287 0.910
Be 0.000 0.000 0.000
Be 6.688 3.861 2.730
Mn 4.459 2.574 1.820
```

Properties
distance to the lowest polymorph of the same formula: 1.69 eV/f.u.
theoretical density: 4.3 g/cm3